(1)
DFT (PBE-GGA) results for a relaxed structure of Cs2PaTa3O12.

The formation energy from raw total energies is -2.665 eV/atom. The density of states at the Fermi level is 13.96 states/eV/f.u. As for the crystal system: trigonal. The total DFT energy (no corrections) is -8.568 eV/atom.

It has space group R-3m (No. 166, hexagonal axes), with a = 7.5786 Å, b = 7.5786 Å, c = 19.2002 Å, α = 90.00°, β = 90.00° and γ = 120.00°. Symmetry generates all atoms from Cs at (0.0000, 0.0000, 0.1171), Pa at (0.0000, 0.0000, 0.5000), Ta at (0.0000, 0.5000, 0.0000), O at (0.0647, 0.5323, 0.1019) and O at (0.0864, 0.5432, 0.3482).

(2)
DFT (PBE-GGA) results for a relaxed structure of BaTl3Ir.

The density of states at the Fermi level is 2.38 states/eV/f.u. As for the crystal system: cubic. The total DFT energy (no corrections) is -3.637 eV/atom. The calculation puts the formation energy at -60 meV/atom.

It has space group Pm-3m (No. 221), with a = 5.3496 Å, b = 5.3496 Å, c = 5.3496 Å, α = 90.00°, β = 90.00° and γ = 90.00°. Symmetry generates all atoms from Ba at (0.0000, 0.0000, 0.0000), Tl at (0.0000, 0.5000, 0.5000) and Ir at (0.5000, 0.5000, 0.5000).

(3)
DFT (PBE-GGA) results for a relaxed structure of RbBa2I2.

The formation energy from raw total energies is -0.795 eV/atom. The density of states at the Fermi level is 3.18 states/eV/f.u. As for the crystal system: tetragonal. The total DFT energy (no corrections) is -2.378 eV/atom. For the energy relative to the lowest polymorph listed for this composition, the calculation gives 156.3 meV/atom.

It has space group P4/mbm (No. 127), with a = 10.8941 Å, b = 10.8941 Å, c = 4.1805 Å, α = 90.00°, β = 90.00° and γ = 90.00°. Symmetry generates all atoms from Rb at (0.0000, 0.0000, 0.0000), Ba at (0.1533, 0.3467, 0.0000) and I at (0.1326, 0.6326, 0.5000).

> Which value of total DFT energy (no corrections) does entry 3 give?

-2.378 eV/atom